! Pm3Dy2TmS6 | Alexandria via LeMat-Bulk | PBE | optimized geometry; values from VASP
! - calculated total energy (eV per cell) = -76.82
! - space-group type = C2/m (12)
&SYSTEM
  ibrav = 0, nat = 12, ntyp = 4
/
ATOMIC_SPECIES
Pm 145.00 Pm.upf
Dy 162.50 Dy.upf
Tm 168.93 Tm.upf
S 32.06 S.upf
CELL_PARAMETERS angstrom
-1.0725 5.5991 -3.7564
-5.1079 -2.7449 3.6035
3.6655 2.7831 5.1649
ATOMIC_POSITIONS crystal
Pm 0.1685 0.8315 0.5000
Pm 0.8315 0.1685 0.5000
Pm 0.5000 0.5000 0.5000
Dy 0.3332 0.6668 0.0000
Dy 0.6668 0.3332 0.0000
Tm 0.0000 0.0000 0.0000
S 0.9218 0.5923 0.7649
S 0.7493 0.7493 0.2366
S 0.0782 0.4077 0.2351
S 0.5923 0.9218 0.7649
S 0.2507 0.2507 0.7634
S 0.4077 0.0782 0.2351

***

! CePr2Te | Alexandria via LeMat-Bulk | PBE | optimized geometry; values from VASP
! - calculated total energy (eV per cell) = -20.54
! - space-group type = R-3m (166)
&SYSTEM
  ibrav = 0, nat = 4, ntyp = 3
/
ATOMIC_SPECIES
Pr 140.91 Pr.upf
Te 127.60 Te.upf
Ce 140.12 Ce.upf
CELL_PARAMETERS angstrom
-2.0345 1.7424 2.9211
0.1281 -1.4937 3.6688
7.3456 5.8991 4.2859
ATOMIC_POSITIONS crystal
Pr 0.2396 0.2396 0.2811
Pr 0.7604 0.7604 0.7189
Te 0.5000 0.5000 0.5000
Ce 0.0000 0.0000 0.0000

***

! Tb3Mg2In2 | Alexandria via LeMat-Bulk | PBE | optimized geometry; values from VASP
! - space-group type = Immm (71)
! - energy of formation from the pure elements (eV per atom) = -0.291
&SYSTEM
  ibrav = 0, nat = 7, ntyp = 3
/
ATOMIC_SPECIES
Tb 158.93 Tb.upf
Mg 24.30 Mg.upf
In 114.82 In.upf
CELL_PARAMETERS angstrom
-2.5440 1.4706 3.9212
-2.8810 -1.9380 -1.1423
6.1856 -8.0997 3.9892
ATOMIC_POSITIONS crystal
Tb 0.0000 0.0000 0.0000
Tb 0.7029 0.2029 0.4059
Tb 0.2971 0.7971 0.5941
Mg 0.5682 0.5682 0.1364
Mg 0.4318 0.4318 0.8636
In 0.1431 0.6431 0.2862
In 0.8569 0.3569 0.7138

***

! HfPI2N | Alexandria via LeMat-Bulk | PBE | optimized geometry; values from VASP
! - calculated total energy (eV per cell) = -24.87
! - space-group type = P4/mmm (123)
&SYSTEM
  ibrav = 0, nat = 5, ntyp = 4
/
ATOMIC_SPECIES
I 126.90 I.upf
P 30.97 P.upf
Hf 178.49 Hf.upf
N 14.01 N.upf
CELL_PARAMETERS angstrom
5.9244 0.0000 0.0000
0.0000 5.9244 0.0000
0.0000 0.0000 3.9876
ATOMIC_POSITIONS crystal
I 0.0000 0.5000 0.0000
I 0.5000 0.0000 0.0000
P 0.5000 0.5000 0.5000
Hf 0.0000 0.0000 0.0000
N 0.0000 0.0000 0.5000

***

! Sc2CuSi | Alexandria via LeMat-Bulk | PBE | optimized geometry; values from VASP
! - calculated total energy (eV per cell) = -24.36
! - space-group type = Amm2 (38)
&SYSTEM
  ibrav = 0, nat = 4, ntyp = 3
/
ATOMIC_SPECIES
Sc 44.96 Sc.upf
Si 28.09 Si.upf
Cu 63.55 Cu.upf
CELL_PARAMETERS angstrom
3.9100 0.0000 0.0000
0.0000 3.7468 0.0110
0.0000 1.8603 5.0306
ATOMIC_POSITIONS crystal
Sc 0.0000 0.9815 0.9116
Sc 0.5000 0.2669 0.3413
Si 0.0000 0.6995 0.4761
Cu 0.5000 0.5520 0.7710

***

! Mg8AgPb2 | Alexandria via LeMat-Bulk | PBE | optimized geometry; values from VASP
! - space-group type = P4/mmm (123)
! - energy of formation from the pure elements (eV per atom) = -0.046
&SYSTEM
  ibrav = 0, nat = 11, ntyp = 3
/
ATOMIC_SPECIES
Mg 24.30 Mg.upf
Ag 107.87 Ag.upf
Pb 207.20 Pb.upf
CELL_PARAMETERS angstrom
4.5488 0.0000 0.0000
0.0000 4.5488 0.0000
0.0000 0.0000 12.6885
ATOMIC_POSITIONS crystal
Mg 0.0000 0.5000 0.5000
Mg 0.5000 0.0000 0.5000
Mg 0.5000 0.5000 0.3149
Mg 0.5000 0.5000 0.6851
Mg 0.0000 0.5000 0.1295
Mg 0.5000 0.0000 0.1295
Mg 0.0000 0.5000 0.8705
Mg 0.5000 0.0000 0.8705
Ag 0.0000 0.0000 0.0000
Pb 0.0000 0.0000 0.3197
Pb 0.0000 0.0000 0.6803

***

! VIrW | Alexandria via LeMat-Bulk | PBE | optimized geometry; values from VASP
! - space-group type = I4mm (107)
! - energy of formation from the pure elements (eV per atom) = -0.056
&SYSTEM
  ibrav = 0, nat = 3, ntyp = 3
/
ATOMIC_SPECIES
Ir 192.22 Ir.upf
W 183.84 W.upf
V 50.94 V.upf
CELL_PARAMETERS angstrom
3.1337 0.0000 0.0000
0.0000 3.1337 0.0000
-1.5668 -1.5668 4.5300
ATOMIC_POSITIONS crystal
Ir 0.9945 0.9945 0.9889
W 0.6750 0.6750 0.3499
V 0.3306 0.3306 0.6612

***

! Pm2SmY3Tm6 | Alexandria via LeMat-Bulk | PBE | optimized geometry; values from VASP
! - space-group type = C2/m (12)
! - energy of formation from the pure elements (eV per atom) = 0.025
&SYSTEM
  ibrav = 0, nat = 12, ntyp = 4
/
ATOMIC_SPECIES
Pm 145.00 Pm.upf
Sm 150.36 Sm.upf
Y 88.91 Y.upf
Tm 168.93 Tm.upf
CELL_PARAMETERS angstrom
-4.5274 0.9872 4.0452
-0.3990 -4.6763 -3.9761
6.9148 -5.6741 7.5653
ATOMIC_POSITIONS crystal
Pm 0.3333 0.6667 0.0000
Pm 0.6667 0.3333 0.0000
Sm 0.0000 0.0000 0.0000
Y 0.1666 0.8334 0.5000
Y 0.8334 0.1666 0.5000
Y 0.5000 0.5000 0.5000
Tm 0.9155 0.5823 0.7486
Tm 0.7513 0.7513 0.2514
Tm 0.0845 0.4177 0.2514
Tm 0.5823 0.9155 0.7486
Tm 0.2487 0.2487 0.7486
Tm 0.4177 0.0845 0.2514

***

! Tb6Pm2Ho | Alexandria via LeMat-Bulk | PBE | optimized geometry; values from VASP
! - space-group type = C2/c (15)
! - energy of formation from the pure elements (eV per atom) = 0.111
&SYSTEM
  ibrav = 0, nat = 18, ntyp = 3
/
ATOMIC_SPECIES
Tb 158.93 Tb.upf
Pm 145.00 Pm.upf
Ho 164.93 Ho.upf
CELL_PARAMETERS angstrom
5.8068 1.5053 1.4573
3.6936 11.2026 -1.5298
3.6936 -1.1660 11.2463
ATOMIC_POSITIONS crystal
Tb 0.3382 0.6737 0.4943
Tb 0.1618 0.5057 0.3263
Tb 0.6618 0.3263 0.5057
Tb 0.8382 0.4943 0.6737
Tb 0.9224 0.9234 0.4094
Tb 0.5776 0.5906 0.0766
Tb 0.0776 0.0766 0.5906
Tb 0.4224 0.4094 0.9234
Tb 0.1777 0.8377 0.9922
Tb 0.3223 0.0078 0.1623
Tb 0.8223 0.1623 0.0078
Tb 0.6777 0.9922 0.8377
Pm 0.0178 0.6609 0.8350
Pm 0.4822 0.1650 0.3391
Pm 0.9822 0.3391 0.1650
Pm 0.5178 0.8350 0.6609
Ho 0.2500 0.2393 0.7607
Ho 0.7500 0.7607 0.2393

***

! UZnCu2 | Alexandria via LeMat-Bulk | PBE | optimized geometry; values from VASP
! - space-group type = P4/mmm (123)
! - energy of formation from the pure elements (eV per atom) = 0.060
&SYSTEM
  ibrav = 0, nat = 4, ntyp = 3
/
ATOMIC_SPECIES
Zn 65.41 Zn.upf
U 238.03 U.upf
Cu 63.55 Cu.upf
CELL_PARAMETERS angstrom
2.7544 0.0000 0.0000
0.0000 2.7544 0.0000
0.0000 0.0000 7.9793
ATOMIC_POSITIONS crystal
Zn 0.5000 0.5000 0.0000
U 0.5000 0.5000 0.5000
Cu 0.0000 0.0000 0.7886
Cu 0.0000 0.0000 0.2114

***

| no. | size of the total moment (μB/f.u.) |
| --- | --- |
| 1 | 0.0 |
| 2 | 0.9 |
| 3 | 0.0 |
| 4 | 2.2 |
| 5 | 0.0 |
| 6 | 0.0 |
| 7 | 0.0 |
| 8 | 0.0 |
| 9 | 0.0 |
| 10 | 1.5 |